The following is a PBE-GGA calculation of an optimized crystal structure of Ac3AlGa6Si2, from Alexandria.

a b c (Å): 6.4381 6.4381 8.3067
angles (deg): 90.00 90.00 120.00
Fractional positions:
1 Ac 0.6667 0.3333 0.3347
2 Si 0.6667 0.3333 0.9412
3 Ga 0.8062 0.6124 0.6945
4 Ga 0.1938 0.8062 0.3055
5 Ga 0.1938 0.3876 0.3055
6 Ga 0.8062 0.1938 0.6945
7 Al 0.0000 0.0000 0.5000
8 Ac 0.3333 0.6667 0.6653
9 Ga 0.3876 0.1938 0.6945
10 Ga 0.6124 0.8062 0.3055
11 Si 0.3333 0.6667 0.0588
12 Ac 0.0000 0.0000 0.0000

Summary:
Energy   -3.976 eV/atom
Formation energy without anion corrections   -2.6 eV/f.u.